1.
La8Pr6Tm | PBE | relaxed

Structure (extended XYZ):
```
15
Lattice="5.812 0.000 2.780 2.241 5.363 2.780 -3.590 -2.391 14.972" Properties=species:S:1:pos:R:3 pbc="T T T"
La 3.530 1.068 12.520
La 4.059 0.126 8.941
La 3.608 3.696 9.862
La 2.684 1.787 1.854
La 1.779 1.185 18.678
La 0.855 -0.724 10.670
La 0.404 2.846 11.591
La 0.933 1.904 8.012
Pr 6.075 2.763 7.223
Pr 1.532 -1.568 14.247
Pr 1.070 2.018 15.169
Pr 3.393 0.954 5.363
Pr 2.931 4.540 6.285
Pr -1.612 0.209 13.310
Tm 0.000 0.000 0.000
```

Summary:
Magnetization: 0.00 μB/cell
Energy relative to the elements: 0.24 eV/f.u.
Theoretical density: 6.5 g cm⁻³
Volume: 36.26 Å³/atom
Density of states at the Fermi level: 23.9 states/eV/cell
Excess energy over the best structure of this formula in the dataset: 0.000 eV/f.u.

2.
La9Nd2Dy | PBE | relaxed

Structure (extended XYZ):
```
12
Lattice="-2.790 -2.836 3.395 -2.186 -2.606 -3.973 11.549 -10.626 0.615" Properties=species:S:1:pos:R:3 pbc="T T T"
La -2.488 -2.721 -0.289
La 1.352 -6.254 -0.085
La 5.221 -9.813 0.121
La 0.512 -3.173 1.799
La 4.379 -6.731 2.005
La 8.247 -10.290 2.211
La 0.814 -3.057 -1.885
La 4.682 -6.616 -1.679
La 8.549 -10.174 -1.473
Nd 3.838 -3.531 0.205
Nd 7.711 -7.095 0.411
Dy 0.000 0.000 0.000
```

Summary:
Magnetization: 0.00 μB/cell
Energy relative to the elements: 0.07 eV/f.u.
Theoretical density: 6.6 g cm⁻³
Volume: 35.80 Å³/atom
Density of states at the Fermi level: 18.7 states/eV/cell